Compound: AlGe2Pb2
Source: Alexandria
Functional: PBE-GGA
Structure: relaxed

a b c (Å): 6.755 6.755 5.381
angles (deg): 90.00 90.00 90.00
Fractional coordinates of all 10 atoms:
Pb 0.694 0.806 0.500
Pb 0.806 0.306 0.500
Pb 0.306 0.194 0.500
Pb 0.194 0.694 0.500
Ge 0.133 0.367 0.000
Ge 0.367 0.867 0.000
Ge 0.867 0.633 0.000
Ge 0.633 0.133 0.000
Al 0.500 0.500 0.000
Al 0.000 0.000 0.000

- ΔH_f (0 K): 0.67 eV/f.u.
- Total moment: 0.00 μB/f.u.
- V: 24.56 Å³/atom
- Space group: No. 127